## MgZrPCl2 (PBE)

Data for a geometry-optimized MgZrPCl2 structure.

Values from the calculation:
Raw total energy ... -21.3 eV/cell
M_tot ... 0.9 Bohr magnetons per cell
Distance to the lowest polymorph of the same formula ... 282.8 meV per atom

Lattice parameters (Å, degrees): 4.4485 4.4485 5.7980 90.00 90.00 90.00
Closest atoms and distances in Å follow each position.
Atoms (fractional coordinates):
P 0.0000 0.0000 0.5000  2 Mg 2.90, 4 Zr 3.15
Mg 0.0000 0.0000 0.0000  4 Cl 2.22
Zr 0.5000 0.5000 0.5000  4 P 3.15
Cl 0.0000 0.5000 0.0000  2 Mg 2.22
Cl 0.5000 0.0000 0.0000  2 Mg 2.22


## MgZrP2Cl (PBE)

Data for a geometry-optimized MgZrP2Cl structure.

Values from the calculation:
Raw total energy ... -22.0 eV/cell
M_tot ... 0.0 Bohr magnetons per cell
Distance to the lowest polymorph of the same formula ... 433.4 meV per atom

Lattice parameters (Å, degrees): 4.8266 4.8266 4.5080 90.00 90.00 90.00
Closest atoms and distances in Å follow each position.
Atoms (fractional coordinates):
P 0.0000 0.5000 0.0000  2 Mg 2.41
P 0.5000 0.0000 0.0000  2 Mg 2.41
Mg 0.0000 0.0000 0.0000  2 Cl 2.25, 4 P 2.41
Zr 0.5000 0.5000 0.5000  8 P 3.30, 4 Cl 3.41
Cl 0.0000 0.0000 0.5000  2 Mg 2.25


## MgZrP2Cl (PBE)

Data for a geometry-optimized MgZrP2Cl structure.

Values from the calculation:
Raw total energy ... -24.2 eV/cell
M_tot ... 0.0 Bohr magnetons per cell
Distance to the lowest polymorph of the same formula ... 0.0 meV per atom

Lattice parameters (Å, degrees): 5.0794 5.0794 4.9496 90.00 90.00 90.00
Closest atoms and distances in Å follow each position.
Atoms (fractional coordinates):
P 0.0000 0.5000 0.0000  2 Zr 2.54
P 0.5000 0.0000 0.0000  2 Zr 2.54
Mg 0.5000 0.5000 0.5000  8 P 3.55, 4 Cl 3.59
Zr 0.0000 0.0000 0.0000  2 Cl 2.47, 4 P 2.54
Cl 0.0000 0.0000 0.5000  2 Zr 2.47


## MgPaCl2 (PBE)

Data for a geometry-optimized MgPaCl2 structure.

Values from the calculation:
Raw total energy ... -18.1 eV/cell
M_tot ... 0.5 Bohr magnetons per cell

Lattice parameters (Å, degrees): 3.3799 3.3799 9.2669 79.49 79.49 60.00
Closest atoms and distances in Å follow each position.
Atoms (fractional coordinates):
Mg 0.5000 0.5000 0.5000  6 Cl 2.46
Pa 0.0000 0.0000 0.0000  2 Cl 3.03, 6 Pa 3.38
Cl 0.1116 0.1116 0.6651  3 Mg 2.46
Cl 0.8884 0.8884 0.3349  3 Mg 2.46


## MgPb2Cl (PBE)

Data for a geometry-optimized MgPb2Cl structure.

Values from the calculation:
Raw total energy ... -12.4 eV/cell
M_tot ... 0.0 Bohr magnetons per cell
Distance to the lowest polymorph of the same formula ... 100.3 meV per atom

Lattice parameters (Å, degrees): 8.0804 8.0804 4.3669 74.31 74.31 24.26
Closest atoms and distances in Å follow each position.
Atoms (fractional coordinates):
Cl 0.2500 0.2500 0.2500  4 Mg 2.77
Mg 0.7500 0.7500 0.7500  4 Cl 2.77
Pb 0.0600 0.0600 0.9400  6 Pb 3.31-3.40, 2 Mg 3.35, 2 Cl 3.62
Pb 0.4400 0.4400 0.5600  6 Pb 3.31-3.40, 2 Mg 3.35, 2 Cl 3.62


## MgPbCl2 (PBE)

Data for a geometry-optimized MgPbCl2 structure.

Values from the calculation:
Raw total energy ... -12.6 eV/cell
M_tot ... 0.0 Bohr magnetons per cell
Distance to the lowest polymorph of the same formula ... 347.1 meV per atom

Lattice parameters (Å, degrees): 3.3758 5.9273 5.9306 74.02 90.00 90.00
Closest atoms and distances in Å follow each position.
Atoms (fractional coordinates):
Cl 0.0000 0.0651 0.0651  2 Mg 2.43
Cl 0.0000 0.4349 0.4349  2 Mg 2.43
Mg 0.5000 0.2500 0.2500  4 Cl 2.43
Pb 0.5000 0.7500 0.7500  2 Pb 3.38, 4 Cl 3.43, 2 Mg 3.57


## MgPbCl2 (PBE)

Data for a geometry-optimized MgPbCl2 structure.

Values from the calculation:
Raw total energy ... -12.2 eV/cell
M_tot ... 0.0 Bohr magnetons per cell
Distance to the lowest polymorph of the same formula ... 436.8 meV per atom

Lattice parameters (Å, degrees): 3.5946 3.5946 8.8573 90.00 90.00 106.13
Closest atoms and distances in Å follow each position.
Atoms (fractional coordinates):
Cl 0.0000 0.0000 0.9648  2 Pb 2.85
Cl 0.5000 0.5000 0.3205  2 Mg 2.49
Mg 0.0000 0.0000 0.4598  2 Cl 2.49
Pb 0.5000 0.5000 0.7549  2 Cl 2.85


## MgPb2Cl4 (PBE)

Data for a geometry-optimized MgPb2Cl4 structure.

Values from the calculation:
Raw total energy ... -48.3 eV/cell
M_tot ... 0.0 Bohr magnetons per cell

Lattice parameters (Å, degrees): 3.5777 9.3563 10.9644 90.00 90.00 90.00
Closest atoms and distances in Å follow each position.
Atoms (fractional coordinates):
Pb 0.5000 0.4025 0.8680  3 Cl 2.99-3.08
Pb 0.5000 0.5975 0.1320  3 Cl 2.99-3.08
Pb 0.5000 0.0975 0.3680  3 Cl 2.99-3.08
Pb 0.5000 0.9025 0.6320  3 Cl 2.99-3.08
Mg 0.0000 0.0000 0.0000  6 Cl 2.51-2.52
Mg 0.0000 0.5000 0.5000  6 Cl 2.51-2.52
Cl 0.0000 0.1002 0.7868  1 Mg 2.52
Cl 0.0000 0.8998 0.2132  1 Mg 2.52
Cl 0.0000 0.3998 0.2868  1 Mg 2.52
Cl 0.0000 0.6002 0.7132  1 Mg 2.52
Cl 0.5000 0.1748 0.0588  2 Mg 2.51
Cl 0.5000 0.8252 0.9412  2 Mg 2.51
Cl 0.5000 0.3252 0.5588  2 Mg 2.51
Cl 0.5000 0.6748 0.4412  2 Mg 2.51


## MgPbCl2 (PBE)

Data for a geometry-optimized MgPbCl2 structure.

Values from the calculation:
Raw total energy ... -12.8 eV/cell
M_tot ... 0.0 Bohr magnetons per cell
Distance to the lowest polymorph of the same formula ... 292.1 meV per atom

Lattice parameters (Å, degrees): 6.6492 6.6492 6.3466 69.31 69.31 29.24
Closest atoms and distances in Å follow each position.
Atoms (fractional coordinates):
Cl 0.1121 0.1121 0.9519  2 Mg 2.44
Cl 0.3879 0.3879 0.5481  2 Mg 2.44
Mg 0.7500 0.7500 0.7500  4 Cl 2.44
Pb 0.2500 0.2500 0.2500  2 Cl 3.03, 2 Pb 3.36


## MgPbCl2 (PBE)

Data for a geometry-optimized MgPbCl2 structure.

Values from the calculation:
Raw total energy ... -13.1 eV/cell
M_tot ... 0.0 Bohr magnetons per cell
Distance to the lowest polymorph of the same formula ... 219.0 meV per atom

Lattice parameters (Å, degrees): 3.5120 3.5120 12.1431 90.00 90.00 119.82
Closest atoms and distances in Å follow each position.
Atoms (fractional coordinates):
Cl 0.0000 0.0000 0.1164  2 Mg 2.39
Cl 0.0000 0.0000 0.3836  2 Mg 2.39
Mg 0.5000 0.5000 0.2500  4 Cl 2.39
Pb 0.5000 0.5000 0.7500  6 Pb 3.51-3.52


## MgPbCl2 (PBE)

Data for a geometry-optimized MgPbCl2 structure.

Values from the calculation:
Raw total energy ... -11.2 eV/cell
M_tot ... 0.0 Bohr magnetons per cell
Distance to the lowest polymorph of the same formula ... 707.2 meV per atom

Lattice parameters (Å, degrees): 4.8205 4.8205 4.3617 90.00 90.00 90.00
Closest atoms and distances in Å follow each position.
Atoms (fractional coordinates):
Cl 0.0000 0.0000 0.0000  4 Pb 3.25, 4 Mg 3.25, 4 Cl 3.41
Cl 0.5000 0.5000 0.0000  4 Pb 3.25, 4 Mg 3.25, 4 Cl 3.41
Mg 0.5000 0.0000 0.5000  8 Cl 3.25, 4 Pb 3.41
Pb 0.0000 0.5000 0.5000  8 Cl 3.25, 4 Mg 3.41


## MgPb2Cl (PBE)

Data for a geometry-optimized MgPb2Cl structure.

Values from the calculation:
Raw total energy ... -12.0 eV/cell
M_tot ... 0.0 Bohr magnetons per cell
Distance to the lowest polymorph of the same formula ... 201.7 meV per atom

Lattice parameters (Å, degrees): 3.4138 6.1338 5.3071 90.00 90.00 90.00
Closest atoms and distances in Å follow each position.
Atoms (fractional coordinates):
Cl 0.5000 0.0000 0.5000  4 Pb 3.16, 2 Cl 3.41, 4 Mg 3.51
Mg 0.0000 0.5000 0.5000  4 Pb 3.16, 2 Mg 3.41, 4 Cl 3.51
Pb 0.0000 0.0000 0.0000  4 Cl 3.16, 6 Pb 3.41-3.51
Pb 0.5000 0.5000 0.0000  4 Mg 3.16, 6 Pb 3.41-3.51